No. 1
A plane-wave DFT calculation with PBE was carried out for a relaxed structure of Ac3PrHg.

Unit cell a=3.9291 b=8.5216 c=12.3118 alpha=102.94 beta=99.18 gamma=90.00
Sites, in units of the cell vectors:
1 Ac 0.3809 0.9728 0.7618
2 Ac 0.8261 0.5277 0.6521
3 Ac 0.1739 0.4723 0.3479
4 Ac 0.9876 0.7473 0.9752
5 Ac 0.0124 0.2527 0.0248
6 Ac 0.6191 0.0272 0.2382
7 Pr 0.2550 0.1680 0.5100
8 Pr 0.7450 0.8320 0.4900
9 Hg 0.5817 0.6069 0.1634
10 Hg 0.4183 0.3931 0.8366

Summary:
DOS at the Fermi energy	1.194	states/eV/atom
ΔE to the lowest computed polymorph	0	meV/atom
SG	C2/m, No. 12
formation energy	-0.091	eV per atom
total DFT energy (no corrections)	-3.572	eV/atom


No. 2
A plane-wave DFT calculation with PBE was carried out for a relaxed structure of HoTmMgSc.

Unit cell a=3.4449 b=3.4458 c=9.1562 alpha=90.01 beta=90.00 gamma=90.00
Sites, in units of the cell vectors:
1 Tm 0.1073 0.4302 0.5791
2 Mg 0.1080 0.4288 0.1032
3 Sc 0.6076 0.9298 0.3284
4 Ho 0.6075 0.9298 0.8501

Summary:
DOS at the Fermi energy	1.342	states/eV/atom
ΔE to the lowest computed polymorph	0	meV/atom
SG	P4mm, No. 99
formation energy	-0.004	eV per atom
total DFT energy (no corrections)	-4.248	eV/atom


No. 3
A plane-wave DFT calculation with PBE was carried out for a relaxed structure of ZrNb2Te5.

Unit cell a=5.1737 b=7.4819 c=7.7625 alpha=83.38 beta=70.53 gamma=69.77
Sites, in units of the cell vectors:
1 Nb 0.8077 0.5000 0.8846
2 Nb 0.1923 0.5000 0.1154
3 Te 0.0000 0.5000 0.5000
4 Te 0.7924 0.2408 0.1745
5 Te 0.4668 0.2408 0.8255
6 Te 0.5332 0.7592 0.1745
7 Te 0.2076 0.7592 0.8255
8 Zr 0.5000 0.5000 0.5000

Summary:
DOS at the Fermi energy	0.326	states/eV/atom
SG	Fmmm, No. 69
total DFT energy (no corrections)	-5.840	eV/atom
energy relative to the elements, uncorrected	-0.29	eV per atom


No. 4
A plane-wave DFT calculation with PBE was carried out for a relaxed structure of MnTePt2.

Unit cell a=4.6064 b=4.6064 c=4.6064 alpha=60.00 beta=60.00 gamma=60.00
Sites, in units of the cell vectors:
1 Pt 0.2500 0.2500 0.2500
2 Pt 0.0000 0.0000 0.0000
3 Mn 0.5000 0.5000 0.5000
4 Te 0.7500 0.7500 0.7500

Summary:
DOS at the Fermi energy	0.670	states/eV/atom
SG	F-43m, No. 216
total DFT energy (no corrections)	-6.065	eV/atom
energy relative to the elements, uncorrected	0.03	eV per atom


No. 5
A plane-wave DFT calculation with PBE was carried out for a relaxed structure of CdHPd3.

Unit cell a=12.6509 b=7.6834 c=7.6834 alpha=99.54 beta=135.01 gamma=44.99
Sites, in units of the cell vectors:
1 Cd 0.7500 0.5912 0.0912
2 Cd 0.7500 0.0909 0.5909
3 Cd 0.2500 0.4088 0.9088
4 Cd 0.2500 0.9091 0.4091
5 Pd 0.7451 0.4609 0.7070
6 Pd 0.7549 0.2070 0.9609
7 Pd 0.2447 0.0493 0.7830
8 Pd 0.2403 0.6729 0.6533
9 Pd 0.7597 0.3271 0.3467
10 Pd 0.7447 0.7170 0.4507
11 Pd 0.2549 0.5391 0.2930
12 Pd 0.7403 0.8467 0.8271
13 Pd 0.2597 0.1533 0.1729
14 Pd 0.2553 0.2830 0.5493
15 Pd 0.7553 0.9507 0.2170
16 Pd 0.2451 0.7930 0.0391
17 H 0.3746 0.7161 0.9646
18 H 0.1254 0.4646 0.2161
19 H 0.6254 0.2839 0.0354
20 H 0.8746 0.5354 0.7839

Summary:
DOS at the Fermi energy	0.312	states/eV/atom
ΔE to the lowest computed polymorph	63	meV/atom
SG	C2/c, No. 15
total DFT energy (no corrections)	-4.193	eV/atom


No. 6
A plane-wave DFT calculation with PBE was carried out for a relaxed structure of NaLi2Rh2.

Unit cell a=7.8147 b=7.8147 c=2.5842 alpha=90.00 beta=90.00 gamma=90.00
Sites, in units of the cell vectors:
1 Rh 0.8817 0.3817 0.5000
2 Rh 0.1183 0.6183 0.5000
3 Rh 0.6183 0.8817 0.5000
4 Rh 0.3817 0.1183 0.5000
5 Na 0.0000 0.0000 0.0000
6 Na 0.5000 0.5000 0.0000
7 Li 0.3296 0.8296 0.0000
8 Li 0.8296 0.6704 0.0000
9 Li 0.1704 0.3296 0.0000
10 Li 0.6704 0.1704 0.0000

Summary:
DOS at the Fermi energy	0.607	states/eV/atom
ΔE to the lowest computed polymorph	0	meV/atom
SG	P4/mbm, No. 127
formation energy	0.068	eV per atom
total DFT energy (no corrections)	-3.902	eV/atom


Q: What is the formula in the fifth record?
A: CdHPd3


Q: Number 1 is which compound?
A: Ac3PrHg


Q: Among the records above, which one has the lowest DOS at the Fermi energy?
A: CdHPd3


Repeat the sixth record exactly.
A plane-wave DFT calculation with PBE was carried out for a relaxed structure of NaLi2Rh2.

Unit cell a=7.8147 b=7.8147 c=2.5842 alpha=90.00 beta=90.00 gamma=90.00
Sites, in units of the cell vectors:
1 Rh 0.8817 0.3817 0.5000
2 Rh 0.1183 0.6183 0.5000
3 Rh 0.6183 0.8817 0.5000
4 Rh 0.3817 0.1183 0.5000
5 Na 0.0000 0.0000 0.0000
6 Na 0.5000 0.5000 0.0000
7 Li 0.3296 0.8296 0.0000
8 Li 0.8296 0.6704 0.0000
9 Li 0.1704 0.3296 0.0000
10 Li 0.6704 0.1704 0.0000

Summary:
DOS at the Fermi energy	0.607	states/eV/atom
ΔE to the lowest computed polymorph	0	meV/atom
SG	P4/mbm, No. 127
formation energy	0.068	eV per atom
total DFT energy (no corrections)	-3.902	eV/atom